# Be3V2Si3O12 GGA+U optimized geometry
data_Be3V2Si3O12
_symmetry_space_group_name_H-M 'P 1 21/c 1'
_symmetry_Int_Tables_number 14
_cell_length_a 8.039
_cell_length_b 7.554
_cell_length_c 15.913
_cell_angle_alpha 90.00
_cell_angle_beta 120.01
_cell_angle_gamma 90.00
loop_
_symmetry_equiv_pos_as_xyz
'x,y,z'
'-x,-y,-z'
'-x,y+1/2,-z+1/2'
'x,-y+1/2,z+1/2'
loop_
_atom_site_label
_atom_site_type_symbol
_atom_site_fract_x
_atom_site_fract_y
_atom_site_fract_z
_atom_site_occupancy
Be1 Be 0.029 0.148 0.415 1
Be2 Be 0.309 0.147 0.234 1
Be3 Be 0.331 0.653 0.402 1
V1 V 0.321 0.059 0.070 1
V2 V 0.335 0.045 0.591 1
Si1 Si 0.032 0.732 0.917 1
Si2 Si 0.305 0.732 0.734 1
Si3 Si 0.341 0.235 0.901 1
O1 O 0.101 0.250 0.027 1
O2 O 0.119 0.240 0.868 1
O3 O 0.123 0.245 0.695 1
O4 O 0.144 0.540 0.957 1
O5 O 0.211 0.618 0.145 1
O6 O 0.211 0.622 0.462 1
O7 O 0.230 0.737 0.809 1
O8 O 0.283 0.543 0.677 1
O9 O 0.416 0.038 0.889 1
O10 O 0.432 0.123 0.354 1
O11 O 0.448 0.239 0.524 1
O12 O 0.451 0.248 0.194 1
# electronic total energy: -7.57 eV/atom